(1)
The following is a DFT calculation (PBE-GGA) of KCuGe2 after structural relaxation.

Cell and atoms, written as POSCAR:
```
KCuGe2
1.0
5.089 0.000 0.000
0.000 5.089 0.000
2.545 2.545 8.376
Ge K Cu
4 2 2
direct
0.875 0.122 0.750 Ge
0.872 0.125 0.250 Ge
0.375 0.128 0.750 Ge
0.878 0.625 0.250 Ge
0.500 0.500 0.000 K
0.250 0.750 0.500 K
0.750 0.250 0.500 Cu
0.000 0.000 0.000 Cu
```

Calculated values
DOS at the Fermi energy: 1.5 states/eV/f.u.
Space group: I-42d (122)
DFT formation energy: 0.1238 eV per atom

***

(2)
The following is a DFT calculation (PBE-GGA) of CaNb2V2 after structural relaxation.

Cell and atoms, written as POSCAR:
```
CaNb2V2
1.0
7.803 0.000 0.000
0.000 7.803 0.000
0.000 0.000 3.183
V Ca Nb
4 2 4
direct
0.869 0.631 0.000 V
0.631 0.131 0.000 V
0.369 0.869 0.000 V
0.131 0.369 0.000 V
0.500 0.500 0.000 Ca
0.000 0.000 0.000 Ca
0.860 0.360 0.500 Nb
0.360 0.140 0.500 Nb
0.140 0.640 0.500 Nb
0.640 0.860 0.500 Nb
```

Calculated values
DOS at the Fermi energy: 6.2 states/eV/f.u.
Space group: P4/mbm (127)
DFT formation energy: 0.4145 eV per atom

***

(3)
The following is a DFT calculation (PBE-GGA) of CeCd8Hg6 after structural relaxation.

Cell and atoms, written as POSCAR:
```
CeCd8Hg6
1.0
7.446 0.373 2.976
2.147 7.139 2.976
0.476 0.373 8.004
Ce Cd Hg
1 8 6
direct
0.000 0.000 0.000 Ce
0.581 0.245 0.844 Cd
0.755 0.156 0.419 Cd
0.156 0.419 0.755 Cd
0.419 0.755 0.156 Cd
0.351 0.351 0.351 Cd
0.844 0.581 0.245 Cd
0.649 0.649 0.649 Cd
0.245 0.844 0.581 Cd
0.245 0.565 0.980 Hg
0.980 0.245 0.565 Hg
0.435 0.020 0.755 Hg
0.755 0.435 0.020 Hg
0.020 0.755 0.435 Hg
0.565 0.980 0.245 Hg
```

Calculated values
DOS at the Fermi energy: 13.3 states/eV/f.u.
Space group: R-3 (148)
DFT formation energy: 0.0081 eV per atom

***

(4)
The following is a DFT calculation (PBE-GGA) of MnW after structural relaxation.

Cell and atoms, written as POSCAR:
```
MnW
1.0
-3.707 -1.990 -2.798
-1.157 -3.669 -3.276
-2.350 -4.454 3.108
Mn W
3 3
direct
0.836 0.836 0.333 Mn
0.500 0.500 0.500 Mn
0.164 0.164 0.667 Mn
0.833 0.833 0.812 W
0.500 0.500 0.000 W
0.167 0.167 0.188 W
```

Calculated values
DOS at the Fermi energy: 2.2 states/eV/f.u.
Space group: C2/m (12)
DFT formation energy: 0.1364 eV per atom

***

(5)
The following is a DFT calculation (PBE-GGA) of NdErUO6 after structural relaxation.

Cell and atoms, written as POSCAR:
```
NdErUO6
1.0
5.787 0.000 0.000
-2.893 5.011 0.000
0.000 0.000 9.748
O Er Nd U
12 2 2 2
direct
0.020 0.658 0.862 O
0.020 0.361 0.638 O
0.658 0.020 0.362 O
0.639 0.658 0.638 O
0.342 0.361 0.862 O
0.361 0.020 0.138 O
0.980 0.639 0.362 O
0.639 0.980 0.862 O
0.361 0.342 0.362 O
0.980 0.342 0.138 O
0.658 0.639 0.138 O
0.342 0.980 0.638 O
0.667 0.333 0.750 Er
0.333 0.667 0.250 Er
0.000 0.000 0.000 Nd
0.000 0.000 0.500 Nd
0.667 0.333 0.250 U
0.333 0.667 0.750 U
```

Calculated values
DOS at the Fermi energy: 0.0 states/eV/f.u.
Space group: P-31c (163)
E_form (uncorrected): -3347 meV/atom

***

(6)
The following is a DFT calculation (PBE-GGA) of Ti4IrRh after structural relaxation.

Cell and atoms, written as POSCAR:
```
Ti4IrRh
1.0
-2.228 2.076 0.403
-4.506 -2.737 0.898
2.163 3.523 5.525
Ir Ti Rh
1 4 1
direct
0.000 0.000 0.000 Ir
0.831 0.506 0.832 Ti
0.169 0.494 0.168 Ti
0.331 0.007 0.331 Ti
0.669 0.993 0.669 Ti
0.500 0.500 0.500 Rh
```

Calculated values
DOS at the Fermi energy: 2.4 states/eV/f.u.
Space group: C2/m (12)
DFT formation energy: -0.6719 eV per atom

***

(7)
The following is a DFT calculation (PBE-GGA) of PmCuTeSe after structural relaxation.

Cell and atoms, written as POSCAR:
```
PmCuTeSe
1.0
4.435 0.000 0.000
2.218 3.841 0.000
2.218 1.280 14.424
Cu Te Se Pm
2 2 2 2
direct
0.728 0.728 0.817 Cu
0.272 0.272 0.183 Cu
0.620 0.620 0.139 Te
0.380 0.380 0.861 Te
0.206 0.206 0.382 Se
0.794 0.794 0.618 Se
0.099 0.099 0.704 Pm
0.901 0.901 0.296 Pm
```

Calculated values
Space group: R-3m (166)
E_form (uncorrected): -1050 meV/atom

***

(8)
The following is a DFT calculation (PBE-GGA) of TlIn2Cl8 after structural relaxation.

Cell and atoms, written as POSCAR:
```
TlIn2Cl8
1.0
6.732 0.075 0.064
0.986 7.958 0.988
0.986 2.210 7.709
Cl Tl In
8 1 2
direct
0.230 0.313 0.899 Cl
0.221 0.374 0.374 Cl
0.705 0.183 0.183 Cl
0.230 0.899 0.313 Cl
0.295 0.817 0.817 Cl
0.779 0.626 0.626 Cl
0.770 0.101 0.687 Cl
0.770 0.687 0.101 Cl
0.000 0.000 0.000 Tl
0.660 0.798 0.798 In
0.340 0.202 0.202 In
```

Calculated values
DOS at the Fermi energy: 6.2 states/eV/f.u.
Space group: C2/m (12)
E_form (uncorrected): -924 meV/atom

***

(9)
The following is a DFT calculation (PBE-GGA) of MnIn2Co after structural relaxation.

Cell and atoms, written as POSCAR:
```
MnIn2Co
1.0
-4.194 7.654 -2.279
-6.633 5.947 -1.412
-4.982 7.485 0.715
Mn Co In
1 1 2
direct
0.488 0.488 0.488 Mn
0.758 0.758 0.758 Co
0.012 0.012 0.012 In
0.242 0.242 0.242 In
```

Calculated values
DOS at the Fermi energy: 2.7 states/eV/f.u.
Space group: R3m (160)
DFT formation energy: 0.3180 eV per atom

***

(10)
The following is a DFT calculation (PBE-GGA) of TlPbCl2 after structural relaxation.

Cell and atoms, written as POSCAR:
```
TlPbCl2
1.0
-0.239 1.772 -3.081
-5.198 -1.728 -0.591
-2.020 5.033 3.051
Cl Tl Pb
2 1 1
direct
0.500 0.500 0.362 Cl
0.000 0.000 0.906 Cl
0.500 0.500 0.866 Tl
0.000 0.000 0.366 Pb
```

Calculated values
DOS at the Fermi energy: 1.3 states/eV/f.u.
Space group: Pmm2 (25)
E_form (uncorrected): -725 meV/atom

***

(11)
The following is a DFT calculation (PBE-GGA) of Zr2ReIF after structural relaxation.

Cell and atoms, written as POSCAR:
```
Zr2ReIF
1.0
-4.675 -0.325 -1.955
-0.237 -5.237 1.437
-1.969 1.321 4.490
I Zr Re F
1 2 1 1
direct
0.000 0.500 0.000 I
0.500 0.000 0.000 Zr
0.000 0.000 0.500 Zr
0.000 0.000 0.000 Re
0.500 0.500 0.500 F
```

Calculated values
DOS at the Fermi energy: 3.7 states/eV/f.u.
Space group: P4/mmm (123)
E_form (uncorrected): 431 meV/atom

***

(12)
The following is a DFT calculation (PBE-GGA) of CoAg2Br after structural relaxation.

Cell and atoms, written as POSCAR:
```
CoAg2Br
1.0
4.362 0.000 -0.001
-2.169 5.790 0.002
0.023 0.908 3.114
Co Br Ag
1 1 2
direct
0.500 0.500 0.000 Co
0.000 0.500 0.500 Br
0.000 0.000 0.000 Ag
0.500 0.000 0.500 Ag
```

Calculated values
DOS at the Fermi energy: 4.8 states/eV/f.u.
Space group: C2/m (12)
E_form (uncorrected): 579 meV/atom

***

no.,magnetization (Bohr magnetons per cell),total DFT energy (no corrections) (eV per cell)
1,0.0,-27.87
2,0.0,-76.61
3,1.3,-14.94
4,4.1,-65.55
5,0.0,-160.98
6,0.0,-51.82
7,0.0,-39.35
8,0.0,-32.78
9,4.8,-20.48
10,0.0,-12.67
11,0.0,-30.81
12,1.9,-12.17